SnSeF2: relaxed, PBE.

Unit cell a=8.434 b=8.434 c=8.434 alpha=21.82 beta=21.82 gamma=21.82
Fractional coordinates of all 4 atoms:
Sn  0.500  0.500  0.500
Se  0.000  0.000  0.000
F  0.918  0.918  0.918
F  0.082  0.082  0.082

## Properties
Total moment ... 0.0 Bohr magnetons per cell
Offset from the most stable computed form ... 83 meV per atom
Formation energy (no corrections) ... -1.01 eV/atom
VASP energy ... -3.821 eV/atom

CaLa2Pr6Sm: relaxed, PBE.

Unit cell a=10.250 b=9.131 c=9.131 alpha=118.62 beta=95.40 gamma=95.40
Fractional coordinates of all 20 atoms:
Ca  0.250  0.398  0.602
Ca  0.750  0.602  0.398
La  0.457  0.796  0.701
La  0.043  0.299  0.204
La  0.543  0.204  0.299
La  0.957  0.701  0.796
Pr  0.050  0.118  0.758
Pr  0.450  0.242  0.882
Pr  0.950  0.882  0.242
Pr  0.550  0.758  0.118
Pr  0.325  0.969  0.417
Pr  0.175  0.583  0.031
Pr  0.675  0.031  0.583
Pr  0.825  0.417  0.969
Pr  0.124  0.715  0.502
Pr  0.376  0.498  0.285
Pr  0.876  0.285  0.498
Pr  0.624  0.502  0.715
Sm  0.250  0.982  0.018
Sm  0.750  0.018  0.982

## Properties
Energy of formation ... 0.11 eV per atom
Total moment ... 0.0 Bohr magnetons per cell
VASP energy ... -4.412 eV/atom

TbEuPuMg: relaxed, PBE.

Unit cell a=5.567 b=5.567 c=5.567 alpha=60.00 beta=60.00 gamma=60.00
Last column: magnetic moment on the atom in μB.
Fractional coordinates of all 4 atoms:
Eu  0.500  0.500  0.500  6.92
Mg  0.750  0.750  0.750  -0.02
Tb  0.000  0.000  0.000  0.29
Pu  0.250  0.250  0.250  5.68

## Properties
Energy of formation ... 0.19 eV per atom
Total moment ... 13.7 Bohr magnetons per cell
VASP energy ... -7.514 eV/atom

CaYBeTe2: relaxed, PBE.

Unit cell a=5.694 b=6.115 c=5.694 alpha=90.00 beta=90.00 gamma=90.00
Fractional coordinates of all 5 atoms:
Y  0.000  0.500  0.000
Be  0.500  0.500  0.500
Ca  0.000  0.000  0.000
Te  0.000  0.000  0.500
Te  0.500  0.000  0.000

## Properties
Total moment ... 0.0 Bohr magnetons per cell
Formation energy (no corrections) ... 0.78 eV/atom
VASP energy ... -2.915 eV/atom

CaHg3Br: relaxed, PBE.

Unit cell a=6.077 b=6.077 c=6.077 alpha=90.00 beta=90.00 gamma=90.00
Fractional coordinates of all 5 atoms:
Ca  0.000  0.000  0.000
Hg  0.000  0.500  0.000
Hg  0.000  0.000  0.500
Hg  0.500  0.000  0.000
Br  0.500  0.500  0.500

## Properties
Total moment ... 0.0 Bohr magnetons per cell
Offset from the most stable computed form ... 0 meV per atom
Formation energy (no corrections) ... -0.13 eV/atom
VASP energy ... -1.042 eV/atom

CrTc3Sn: relaxed, PBE.

Unit cell a=4.474 b=4.474 c=4.474 alpha=90.00 beta=90.00 gamma=90.00
Last column: magnetic moment on the atom in μB.
Fractional coordinates of all 5 atoms:
Cr  0.000  0.000  0.000  -0.25
Sn  0.500  0.500  0.500  -0.02
Tc  0.000  0.500  0.000  0.47
Tc  0.000  0.000  0.500  0.55
Tc  0.500  0.000  0.000  0.42

## Properties
Energy of formation ... 1.03 eV per atom
Total moment ... 1.3 Bohr magnetons per cell
Offset from the most stable computed form ... 0 meV per atom
VASP energy ... -7.916 eV/atom

Ac2UPt12Rh3: relaxed, PBE.

Unit cell a=8.461 b=8.461 c=8.461 alpha=57.73 beta=57.73 gamma=57.73
Fractional coordinates of all 18 atoms:
Ac  0.621  0.621  0.621
Ac  0.379  0.379  0.379
U  0.000  0.000  0.000
Pt  0.375  0.375  0.861
Pt  0.876  0.876  0.386
Pt  0.386  0.876  0.876
Pt  0.861  0.375  0.375
Pt  0.876  0.386  0.876
Pt  0.375  0.861  0.375
Pt  0.625  0.625  0.139
Pt  0.124  0.124  0.614
Pt  0.614  0.124  0.124
Pt  0.139  0.625  0.625
Pt  0.124  0.614  0.124
Pt  0.625  0.139  0.625
Rh  0.500  0.000  0.000
Rh  0.000  0.500  0.000
Rh  0.000  0.000  0.500

## Properties
Energy of formation ... 0.00 eV per atom
Total moment ... 0.0 Bohr magnetons per cell
VASP energy ... -6.338 eV/atom

LaCl4: relaxed, PBE.

Unit cell a=5.586 b=5.586 c=5.586 alpha=90.00 beta=90.00 gamma=90.00
Last column: magnetic moment on the atom in μB.
Fractional coordinates of all 5 atoms:
Cl  0.000  0.000  0.000  0.62
Cl  0.500  0.000  0.500  0.04
Cl  0.000  0.500  0.500  0.04
Cl  0.500  0.500  0.000  0.04
La  0.500  0.500  0.500  0.00

## Properties
Total moment ... 1.0 Bohr magnetons per cell
Formation energy (no corrections) ... -1.59 eV/atom
VASP energy ... -4.049 eV/atom

TbCoGe3Ir: relaxed, PBE.

Unit cell a=5.756 b=6.369 c=7.264 alpha=116.00 beta=90.00 gamma=90.00
Fractional coordinates of all 12 atoms:
Tb  0.750  0.185  0.369
Tb  0.250  0.815  0.631
Co  0.250  0.040  0.081
Co  0.750  0.960  0.919
Ge  0.250  0.210  0.419
Ge  0.000  0.280  0.000
Ge  0.500  0.720  0.000
Ge  0.500  0.280  0.000
Ge  0.000  0.720  0.000
Ge  0.750  0.790  0.581
Ir  0.250  0.387  0.773
Ir  0.750  0.613  0.227

## Properties
Energy of formation ... -0.31 eV per atom
Total moment ... 0.0 Bohr magnetons per cell
VASP energy ... -6.050 eV/atom

BaLiLa2: relaxed, PBE.

Unit cell a=6.710 b=6.710 c=6.538 alpha=70.39 beta=70.39 gamma=33.12
Fractional coordinates of all 4 atoms:
Ba  0.227  0.227  0.317
La  0.019  0.019  0.936
La  0.769  0.769  0.794
Li  0.485  0.485  0.453

## Properties
Energy of formation ... 0.18 eV per atom
Total moment ... 0.0 Bohr magnetons per cell
Offset from the most stable computed form ... 87 meV per atom
VASP energy ... -3.243 eV/atom

SmBeSnN3: relaxed, PBE.

Unit cell a=3.254 b=6.878 c=6.887 alpha=103.47 beta=90.00 gamma=90.00
Fractional coordinates of all 12 atoms:
Sm  0.250  0.188  0.226
Sm  0.750  0.812  0.774
Be  0.250  0.077  0.596
Be  0.750  0.923  0.404
Sn  0.250  0.661  0.168
Sn  0.750  0.339  0.832
N  0.750  0.886  0.150
N  0.250  0.114  0.850
N  0.250  0.827  0.484
N  0.750  0.173  0.516
N  0.750  0.438  0.165
N  0.250  0.562  0.835

## Properties
Total moment ... 0.0 Bohr magnetons per cell
Formation energy (no corrections) ... -0.63 eV/atom
VASP energy ... -6.866 eV/atom

CeNiAgH6: relaxed, PBE.

Unit cell a=4.627 b=4.627 c=4.407 alpha=90.00 beta=90.00 gamma=60.00
Last column: magnetic moment on the atom in μB.
Fractional coordinates of all 9 atoms:
Ce  0.000  0.000  0.000  1.03
Ni  0.333  0.333  0.500  0.15
Ag  0.667  0.667  0.500  0.03
H  0.043  0.479  0.235  0.00
H  0.479  0.043  0.765  0.00
H  0.479  0.479  0.765  0.00
H  0.043  0.479  0.765  0.00
H  0.479  0.479  0.235  0.00
H  0.479  0.043  0.235  0.00

## Properties
Total moment ... 1.5 Bohr magnetons per cell
VASP energy ... -4.015 eV/atom